Entry P
Density functional theory data (GGA-PBE) for a relaxed CuRuI2O crystal.

Properties
The total moment is 3.705 μB per cell. The volume comes out at 21.906 Å³/atom. As for the space group: P4/mmm, No. 123.

Cell lengths 5.560, 5.560, 3.543 Å; angles 90.00, 90.00, 90.00 degrees
Sites, in units of the cell vectors:
I1 0.500 0.000 0.000
I2 0.000 0.500 0.000
Ru1 0.500 0.500 0.500
Cu1 0.000 0.000 0.000
O1 0.000 0.000 0.500

Entry Q
Density functional theory data (GGA-PBE) for a relaxed CuRuI2O crystal.

Properties
The total moment is 0.290 μB per cell. The volume comes out at 22.741 Å³/atom. As for the space group: P4/mmm, No. 123.

Cell lengths 5.524, 5.524, 3.727 Å; angles 90.00, 90.00, 90.00 degrees
Sites, in units of the cell vectors:
Cu1 0.500 0.500 0.500
I1 0.000 0.500 0.000
I2 0.500 0.000 0.000
Ru1 0.000 0.000 0.000
O1 0.000 0.000 0.500

Bottom line: entry Q, by a margin of 557 meV/atom.

Entry P
Density functional theory data (GGA-PBE) for a relaxed CuRuIO2 crystal.

Properties
The total moment is 1.040 μB per cell. The volume comes out at 16.662 Å³/atom. As for the space group: P4/mmm, No. 123.

Cell lengths 3.744, 3.744, 5.944 Å; angles 90.00, 90.00, 90.00 degrees
Sites, in units of the cell vectors:
I1 0.000 0.000 0.500
Cu1 0.000 0.000 0.000
Ru1 0.500 0.500 0.500
O1 0.500 0.000 0.000
O2 0.000 0.500 0.000

Entry Q
Density functional theory data (GGA-PBE) for a relaxed CuRuIO2 crystal.

Properties
The total moment is 0.000 μB per cell. The volume comes out at 22.025 Å³/atom. As for the space group: P4/mmm, No. 123.

Cell lengths 3.736, 3.736, 7.889 Å; angles 90.00, 90.00, 90.00 degrees
Sites, in units of the cell vectors:
I1 0.000 0.000 0.500
O1 0.500 0.000 0.000
O2 0.000 0.500 0.000
Cu1 0.500 0.500 0.500
Ru1 0.000 0.000 0.000

Bottom line: entry Q, by a margin of 963 meV/atom.

Entry P
Density functional theory data (GGA-PBE) for a relaxed CuSbIO2 crystal.

Properties
The total moment is 0.000 μB per cell. The volume comes out at 21.156 Å³/atom. As for the space group: P4/mmm, No. 123.

Cell lengths 3.975, 3.975, 6.694 Å; angles 90.00, 90.00, 90.00 degrees
Sites, in units of the cell vectors:
Sb1 0.000 0.000 0.000
O1 0.000 0.500 0.000
O2 0.500 0.000 0.000
I1 0.000 0.000 0.500
Cu1 0.500 0.500 0.500

Entry Q
Density functional theory data (GGA-PBE) for a relaxed CuSbIO2 crystal.

Properties
The total moment is 0.000 μB per cell. The volume comes out at 17.188 Å³/atom. As for the space group: P4/mmm, No. 123.

Cell lengths 4.209, 4.209, 4.852 Å; angles 90.00, 90.00, 90.00 degrees
Sites, in units of the cell vectors:
O1 0.500 0.000 0.000
O2 0.000 0.500 0.000
Sb1 0.500 0.500 0.500
I1 0.000 0.000 0.500
Cu1 0.000 0.000 0.000

Bottom line: entry P, by a margin of 702 meV/atom.

Entry P
Density functional theory data (GGA-PBE) for a relaxed CuSb2IO crystal.

Properties
The total moment is 0.000 μB per cell. The volume comes out at 26.420 Å³/atom. As for the space group: P4/mmm, No. 123.

Cell lengths 4.414, 4.414, 6.779 Å; angles 90.00, 90.00, 90.00 degrees
Sites, in units of the cell vectors:
O1 0.000 0.000 0.000
Cu1 0.500 0.500 0.500
Sb1 0.000 0.500 0.000
Sb2 0.500 0.000 0.000
I1 0.000 0.000 0.500

Entry Q
Density functional theory data (GGA-PBE) for a relaxed CuSb2IO crystal.

Properties
The total moment is 0.003 μB per cell. The volume comes out at 26.356 Å³/atom. As for the space group: P4/mmm, No. 123.

Cell lengths 5.041, 5.041, 5.185 Å; angles 90.00, 90.00, 90.00 degrees
Sites, in units of the cell vectors:
Cu1 0.000 0.000 0.000
Sb1 0.000 0.500 0.000
Sb2 0.500 0.000 0.000
O1 0.500 0.500 0.500
I1 0.000 0.000 0.500

Bottom line: entry P, by a margin of 529 meV/atom.

Entry P
Density functional theory data (GGA-PBE) for a relaxed ScCuI2O crystal.

Properties
The total moment is 0.000 μB per cell. The volume comes out at 26.698 Å³/atom. As for the space group: P4/mmm, No. 123.

Cell lengths 5.873, 5.873, 3.870 Å; angles 90.00, 90.00, 90.00 degrees
Sites, in units of the cell vectors:
Sc1 0.000 0.000 0.000
Cu1 0.500 0.500 0.500
O1 0.000 0.000 0.500
I1 0.500 0.000 0.000
I2 0.000 0.500 0.000

Entry Q
Density functional theory data (GGA-PBE) for a relaxed ScCuI2O crystal.

Properties
The total moment is 0.027 μB per cell. The volume comes out at 22.068 Å³/atom. As for the space group: P4/mmm, No. 123.

Cell lengths 5.497, 5.497, 3.652 Å; angles 90.00, 90.00, 90.00 degrees
Sites, in units of the cell vectors:
I1 0.000 0.500 0.000
I2 0.500 0.000 0.000
O1 0.000 0.000 0.500
Sc1 0.500 0.500 0.500
Cu1 0.000 0.000 0.000

Bottom line: entry P, by a margin of 611 meV/atom.

Entry P
Density functional theory data (GGA-PBE) for a relaxed ScCuIO2 crystal.

Properties
The total moment is 0.001 μB per cell. The volume comes out at 20.257 Å³/atom. As for the space group: P4/mmm, No. 123.

Cell lengths 3.977, 3.977, 6.405 Å; angles 90.00, 90.00, 90.00 degrees
Sites, in units of the cell vectors:
Sc1 0.000 0.000 0.000
Cu1 0.500 0.500 0.500
O1 0.500 0.000 0.000
O2 0.000 0.500 0.000
I1 0.000 0.000 0.500

Entry Q
Density functional theory data (GGA-PBE) for a relaxed ScCuIO2 crystal.

Properties
The total moment is 0.000 μB per cell. The volume comes out at 16.030 Å³/atom. As for the space group: P4/mmm, No. 123.

Cell lengths 4.057, 4.057, 4.871 Å; angles 90.00, 90.00, 90.00 degrees
Sites, in units of the cell vectors:
Sc1 0.500 0.500 0.500
Cu1 0.000 0.000 0.000
I1 0.000 0.000 0.500
O1 0.000 0.500 0.000
O2 0.500 0.000 0.000

Bottom line: entry P, by a margin of 813 meV/atom.

Entry P
Density functional theory data (GGA-PBE) for a relaxed CuSeIO2 crystal.

Properties
The total moment is 0.000 μB per cell. The volume comes out at 22.287 Å³/atom. As for the space group: P4/mmm, No. 123.

Cell lengths 3.809, 3.809, 7.682 Å; angles 90.00, 90.00, 90.00 degrees
Sites, in units of the cell vectors:
O1 0.000 0.500 0.000
O2 0.500 0.000 0.000
Se1 0.000 0.000 0.000
I1 0.000 0.000 0.500
Cu1 0.500 0.500 0.500

Entry Q
Density functional theory data (GGA-PBE) for a relaxed CuSeIO2 crystal.

Properties
The total moment is 2.132 μB per cell. The volume comes out at 21.696 Å³/atom. As for the space group: P4/mmm, No. 123.

Cell lengths 3.872, 3.872, 7.236 Å; angles 90.00, 90.00, 90.00 degrees
Sites, in units of the cell vectors:
Cu1 0.000 0.000 0.000
O1 0.000 0.500 0.000
O2 0.500 0.000 0.000
Se1 0.500 0.500 0.500
I1 0.000 0.000 0.500

Bottom line: entry P, by a margin of 348 meV/atom.